Here is PaCdSn2 after structural relaxation from Alexandria. Energies are from PBE.

a b c (Å): 4.7767 4.7767 4.3486
angles (deg): 90.00 90.00 90.00
Last column: nearest neighbours and their distance in Å.
Positions (direct):
Pa 0.0000 0.0000 0.0000  8 Sn 3.23, 4 Cd 3.38
Cd 0.5000 0.5000 0.0000  8 Sn 3.23, 4 Pa 3.38
Sn 0.0000 0.5000 0.5000  4 Cd 3.23, 4 Pa 3.23, 4 Sn 3.38
Sn 0.5000 0.0000 0.5000  4 Cd 3.23, 4 Pa 3.23, 4 Sn 3.38

Summary:
DOS at the Fermi energy: 4.25 states/eV/f.u.
formation energy: -0.24 eV/atom
calculated volume: 99 Å³/cell
VASP energy: -19.380 eV/f.u.

Here is PaCdSn after structural relaxation from Alexandria. Energies are from PBE.

a b c (Å): 7.7502 7.7502 7.7502
angles (deg): 156.33 156.33 33.72
Last column: nearest neighbours and their distance in Å.
Positions (direct):
Pa 0.0000 0.0000 0.0000  4 Pa 3.18, 4 Sn 3.32, 4 Cd 3.35
Cd 0.3322 0.3322 0.0000  4 Cd 3.18, 4 Sn 3.35, 4 Pa 3.35
Sn 0.6648 0.6648 0.0000  4 Sn 3.18, 4 Pa 3.32, 4 Cd 3.35

Summary:
DOS at the Fermi energy: 4.71 states/eV/f.u.
formation energy: 0.07 eV/atom
calculated volume: 75 Å³/cell
VASP energy: -14.215 eV/f.u.

Here is PaCdSn2 after structural relaxation from Alexandria. Energies are from PBE.

a b c (Å): 3.8363 3.8363 6.8577
angles (deg): 90.00 90.00 90.00
Last column: nearest neighbours and their distance in Å.
Positions (direct):
Pa 0.0000 0.0000 0.0000  8 Sn 3.29, 2 Cd 3.43
Cd 0.0000 0.0000 0.5000  8 Sn 3.14, 2 Pa 3.43
Sn 0.5000 0.5000 0.2704  4 Cd 3.14, 1 Sn 3.15, 4 Pa 3.29
Sn 0.5000 0.5000 0.7296  4 Cd 3.14, 1 Sn 3.15, 4 Pa 3.29

Summary:
DOS at the Fermi energy: 6.06 states/eV/f.u.
formation energy: 0.00 eV/atom
calculated volume: 101 Å³/cell
VASP energy: -18.406 eV/f.u.

Here is Pa2CdSn after structural relaxation from Alexandria. Energies are from PBE.

a b c (Å): 4.4096 4.4096 5.0046
angles (deg): 90.00 90.00 90.00
Last column: nearest neighbours and their distance in Å.
Positions (direct):
Pa 0.0000 0.5000 0.0000  4 Pa 3.12, 4 Cd 3.34, 4 Sn 3.34
Pa 0.5000 0.0000 0.0000  4 Pa 3.12, 4 Cd 3.34, 4 Sn 3.34
Cd 0.0000 0.0000 0.5000  4 Sn 3.12, 8 Pa 3.34
Sn 0.5000 0.5000 0.5000  4 Cd 3.12, 8 Pa 3.34

Summary:
DOS at the Fermi energy: 7.27 states/eV/f.u.
formation energy: -0.03 eV/atom
calculated volume: 97 Å³/cell
VASP energy: -24.030 eV/f.u.

- Which of these has the lowest VASP energy?
  Pa2CdSn